SrTiF3 | PBE | optimized geometry

Calculated values
symmetry = Pm-3m
energy = -5.22 eV/atom
ρ = 3.061 g/cm³
density of states at the Fermi level = 1.311 states/eV per atom

Unit cell a=4.709 b=4.709 c=4.709 alpha=90.00 beta=90.00 gamma=90.00
Last column: magnetic moment on the atom in μB.
Atoms (fractional coordinates):
Sr 0.000 0.000 0.000  0.00
F 0.000 0.500 0.000  0.02
F 0.000 0.000 0.500  0.01
F 0.500 0.000 0.000  0.01
Ti 0.500 0.500 0.500  2.23

SrTiF2 | PBE | optimized geometry

Calculated values
symmetry = R-3m
energy = -5.33 eV/atom
ρ = 3.712 g/cm³
density of states at the Fermi level = 1.478 states/eV per atom

Unit cell a=6.522 b=6.522 c=6.522 alpha=34.07 beta=34.07 gamma=34.07
Last column: magnetic moment on the atom in μB.
Atoms (fractional coordinates):
Sr 0.000 0.000 0.000  0.01
F 0.868 0.868 0.868  0.01
F 0.132 0.132 0.132  0.01
Ti 0.500 0.500 0.500  1.75

SrTiF2 | PBE | optimized geometry

Calculated values
symmetry = R-3m
energy = -5.60 eV/atom
ρ = 3.549 g/cm³
density of states at the Fermi level = 0.851 states/eV per atom

Unit cell a=6.374 b=6.374 c=6.374 alpha=36.29 beta=36.29 gamma=36.29
Last column: magnetic moment on the atom in μB.
Atoms (fractional coordinates):
Sr 0.500 0.500 0.500  0.03
F 0.883 0.883 0.883  0.02
F 0.117 0.117 0.117  0.02
Ti 0.000 0.000 0.000  1.47

SrTi3F | PBE | optimized geometry

Calculated values
symmetry = Pm-3m
energy = -5.49 eV/atom
ρ = 4.365 g/cm³
density of states at the Fermi level = 1.658 states/eV per atom

Unit cell a=4.566 b=4.566 c=4.566 alpha=90.00 beta=90.00 gamma=90.00
Last column: magnetic moment on the atom in μB.
Atoms (fractional coordinates):
Sr 0.500 0.500 0.500  0.01
F 0.000 0.000 0.000  0.00
Ti 0.000 0.500 0.000  0.29
Ti 0.000 0.000 0.500  0.23
Ti 0.500 0.000 0.000  0.35

SrY2TiF | PBE | optimized geometry

Calculated values
symmetry = P4/mmm
energy = -5.38 eV/atom
ρ = 4.223 g/cm³
density of states at the Fermi level = 1.312 states/eV per atom

Unit cell a=5.569 b=4.213 c=5.569 alpha=90.00 beta=90.00 gamma=90.00
Last column: magnetic moment on the atom in μB.
Atoms (fractional coordinates):
Y 0.000 0.000 0.500  0.12
Y 0.500 0.000 0.000  0.10
Sr 0.500 0.500 0.500  0.01
F 0.000 0.000 0.000  0.00
Ti 0.000 0.500 0.000  1.46

Sr2TlF | PBE | optimized geometry

Calculated values
symmetry = P4/mmm
energy = -3.16 eV/atom
ρ = 5.869 g/cm³
density of states at the Fermi level = 0.157 states/eV per atom

Unit cell a=3.668 b=3.668 c=8.382 alpha=90.00 beta=90.00 gamma=90.00
Atoms (fractional coordinates):
Sr 0.000 0.000 0.770
Sr 0.000 0.000 0.230
Tl 0.500 0.500 0.500
F 0.500 0.500 0.000

SrTl3F | PBE | optimized geometry

Calculated values
symmetry = Pm-3m
energy = -1.91 eV/atom
ρ = 4.356 g/cm³
density of states at the Fermi level = 1.795 states/eV per atom

Unit cell a=6.498 b=6.498 c=6.498 alpha=90.00 beta=90.00 gamma=90.00
Last column: magnetic moment on the atom in μB.
Atoms (fractional coordinates):
Sr 0.000 0.000 0.000  0.11
Tl 0.000 0.500 0.000  0.10
Tl 0.000 0.000 0.500  0.09
Tl 0.500 0.000 0.000  0.08
F 0.500 0.500 0.500  0.09

Sr2Tl2F | PBE | optimized geometry

Calculated values
symmetry = P4/mbm
energy = -3.12 eV/atom
ρ = 6.454 g/cm³
density of states at the Fermi level = 0.754 states/eV per atom

Unit cell a=7.303 b=7.303 c=5.819 alpha=90.00 beta=90.00 gamma=90.00
Last column: magnetic moment on the atom in μB.
Atoms (fractional coordinates):
Sr 0.314 0.814 0.000  0.05
Sr 0.814 0.686 0.000  0.05
Sr 0.686 0.186 0.000  0.05
Sr 0.186 0.314 0.000  0.05
Tl 0.146 0.646 0.500  0.04
Tl 0.646 0.854 0.500  0.03
Tl 0.854 0.354 0.500  0.04
Tl 0.354 0.146 0.500  0.03
F 0.000 0.000 0.000  0.00
F 0.500 0.500 0.000  0.00

Sr2TlF | PBE | optimized geometry

Calculated values
symmetry = R-3m
energy = -3.03 eV/atom
ρ = 4.842 g/cm³
density of states at the Fermi level = 0.678 states/eV per atom

Unit cell a=3.954 b=3.954 c=10.351 alpha=78.99 beta=78.99 gamma=60.00
Last column: magnetic moment on the atom in μB.
Atoms (fractional coordinates):
Sr 0.110 0.110 0.669  0.06
Sr 0.890 0.890 0.331  0.06
Tl 0.000 0.000 0.000  -0.02
F 0.500 0.500 0.500  0.01

SrTl2F8 | PBE | optimized geometry

Calculated values
symmetry = I4/mmm
energy = -4.30 eV/atom
ρ = 6.139 g/cm³
density of states at the Fermi level = 0.000 states/eV per atom

Unit cell a=5.423 b=5.423 c=7.090 alpha=112.48 beta=112.48 gamma=90.00
Atoms (fractional coordinates):
Sr 0.500 0.500 0.000
Tl 0.750 0.250 0.500
Tl 0.250 0.750 0.500
F 0.887 0.396 0.281
F 0.114 0.606 0.719
F 0.604 0.113 0.719
F 0.113 0.114 0.719
F 0.394 0.886 0.281
F 0.886 0.887 0.281
F 0.396 0.394 0.281
F 0.606 0.604 0.719

SrTl2F | PBE | optimized geometry

Calculated values
symmetry = Fm-3m
energy = -2.66 eV/atom
ρ = 7.519 g/cm³
density of states at the Fermi level = 1.163 states/eV per atom

Unit cell a=5.440 b=5.440 c=5.440 alpha=60.00 beta=60.00 gamma=60.00
Atoms (fractional coordinates):
Sr 0.500 0.500 0.500
Tl 0.250 0.250 0.250
Tl 0.750 0.750 0.750
F 0.000 0.000 0.000

SrTl2F7 | PBE | optimized geometry

Calculated values
symmetry = Cmmm
energy = -4.28 eV/atom
ρ = 6.050 g/cm³
density of states at the Fermi level = 0.199 states/eV per atom

Unit cell a=4.268 b=6.619 c=6.619 alpha=112.50 beta=90.00 gamma=90.00
Atoms (fractional coordinates):
Sr 0.000 0.000 0.000
Tl 0.500 0.699 0.301
Tl 0.500 0.301 0.699
F 0.000 0.764 0.236
F 0.000 0.236 0.764
F 0.500 0.057 0.309
F 0.500 0.943 0.691
F 0.500 0.309 0.057
F 0.500 0.691 0.943
F 0.500 0.500 0.500

Uncorrected formation energy list, top to bottom, in eV per formula unit: -10.9; -8.0; -9.1; -0.2; -2.5; -5.0; 1.1; -5.6; -4.5; -25.9; -2.4; -23.3